Record 1
The following is a DFT calculation (GGA-PBEsol) of CsCeHgSe3 after structural relaxation.

Geometry as extended XYZ:
```
12
Lattice="-0.750 2.868 3.185 -7.301 -3.259 -1.756 1.727 -7.944 7.562" Properties=species:S:1:pos:R:3 pbc="T T T"
Cs -3.461 -2.911 1.808
Cs -2.863 -5.423 7.183
Ce 0.864 -3.972 3.781
Ce 0.000 0.000 0.000
Hg -0.542 -0.694 3.470
Hg -5.782 -7.641 5.521
Se 0.287 -6.198 5.650
Se -2.183 0.613 1.906
Se -1.481 -2.615 4.979
Se -6.611 -2.137 3.341
Se -4.843 -5.720 4.012
Se -4.141 -8.948 7.085
```

Calculated values
- theoretical density (g/cm3) = 6.19
- formation energy (no corrections) (eV per atom) = -1.172
- M_tot (μB per formula unit) = 0.957
- space group = No. 63



Record 2
The following is a DFT calculation (GGA-PBEsol) of Cs2NaCeI6 after structural relaxation.

Geometry as extended XYZ:
```
10
Lattice="-4.152 -7.149 2.618 3.728 -5.321 5.743 -3.090 -0.503 8.086" Properties=species:S:1:pos:R:3 pbc="T T T"
Cs -2.636 -9.730 12.335
Cs -0.879 -3.243 4.112
Na -1.757 -6.487 8.223
Ce 0.000 0.000 0.000
I -2.953 -6.817 5.425
I -1.092 -9.474 8.292
I -0.562 -6.156 11.022
I -4.495 -7.068 9.462
I 0.981 -5.905 6.985
I -2.423 -3.500 8.155
```

Calculated values
- theoretical density (g/cm3) = 4.29
- formation energy (no corrections) (eV per atom) = -1.375
- M_tot (μB per formula unit) = 1.000
- space group = No. 225



Record 3
The following is a DFT calculation (GGA-PBEsol) of Cs2CeO3 after structural relaxation.

Geometry as extended XYZ:
```
24
Lattice="-1.940 6.234 1.110 0.434 -4.441 5.948 13.405 3.835 1.885" Properties=species:S:1:pos:R:3 pbc="T T T"
Cs 7.754 1.948 2.611
Cs 8.060 1.267 6.971
Cs 0.763 -0.682 5.164
Cs 1.772 0.375 0.990
Cs 10.127 5.252 7.953
Cs 11.136 6.309 3.778
Cs 3.839 4.361 1.972
Cs 4.145 3.680 6.331
Ce 11.054 2.566 4.908
Ce 4.362 0.674 3.838
Ce 0.845 3.062 4.035
Ce 7.537 4.954 5.104
O 8.366 6.976 5.075
O 12.605 3.248 3.788
O 11.194 2.252 6.915
O 5.696 0.817 5.364
O 4.826 1.160 1.916
O 2.564 1.769 4.423
O 9.336 3.859 4.520
O 6.204 4.810 3.579
O 7.073 4.467 7.027
O 0.705 3.376 2.028
O -0.706 2.380 5.155
O 3.533 -1.348 3.868
```

Calculated values
- theoretical density (g/cm3) = 4.86
- formation energy (no corrections) (eV per atom) = -2.246
- M_tot (μB per formula unit) = 0.000
- space group = No. 64



Record 4
The following is a DFT calculation (GGA-PBEsol) of CsCeSiSe4 after structural relaxation.

Geometry as extended XYZ:
```
28
Lattice="6.610 0.000 0.000 0.000 6.995 0.000 0.000 0.000 18.312" Properties=species:S:1:pos:R:3 pbc="T T T"
Cs 3.282 3.450 17.707
Cs 0.023 3.545 8.551
Cs 3.328 6.947 9.760
Cs 6.587 0.048 0.605
Ce 4.649 6.861 4.992
Ce 1.961 3.364 4.164
Ce 5.266 0.134 14.147
Ce 1.344 3.631 13.320
Si 1.911 6.889 15.336
Si 5.216 3.604 2.975
Si 1.395 0.106 6.181
Si 4.700 3.391 12.131
Se 3.710 6.911 16.687
Se 0.428 5.200 15.749
Se 2.496 6.557 13.160
Se 0.810 0.438 4.004
Se 0.405 3.581 1.625
Se 6.205 0.084 7.531
Se 2.626 5.195 6.464
Se 4.115 3.060 14.308
Se 3.984 1.697 2.692
Se 0.679 1.800 15.620
Se 5.931 5.297 11.847
Se 2.900 3.414 10.781
Se 6.182 1.703 11.718
Se 3.733 5.292 2.562
Se 2.877 1.795 6.594
Se 5.801 3.935 5.152
```

Calculated values
- theoretical density (g/cm3) = 4.84
- formation energy (no corrections) (eV per atom) = -1.195
- M_tot (μB per formula unit) = 1.000
- space group = No. 19



Record 5
The following is a DFT calculation (GGA-PBEsol) of CeCu6 after structural relaxation.

Geometry as extended XYZ:
```
28
Lattice="-0.897 3.742 3.083 -1.702 -5.164 5.773 9.534 -0.018 2.795" Properties=species:S:1:pos:R:3 pbc="T T T"
Ce 7.827 1.547 6.313
Ce -0.891 -2.986 5.337
Ce 3.459 -1.029 8.169
Ce 3.476 -0.411 3.481
Cu -1.548 -0.297 5.825
Cu 8.484 -1.142 5.826
Cu 3.775 2.276 4.249
Cu 3.160 -3.716 7.401
Cu 1.082 -2.238 3.069
Cu 6.294 -1.037 7.070
Cu 0.901 -2.986 7.793
Cu 5.595 3.383 5.370
Cu 5.854 0.799 8.582
Cu 0.642 -0.402 4.581
Cu 6.035 1.547 3.858
Cu 1.341 -4.822 6.280
Cu 0.897 0.178 2.017
Cu 6.039 -1.617 9.634
Cu 2.073 -2.408 5.497
Cu 4.863 0.968 6.153
Cu 5.598 -3.297 7.601
Cu 1.338 1.857 4.049
Cu 6.326 -0.715 4.679
Cu 0.610 -0.725 6.972
Cu 4.488 -1.971 5.669
Cu 2.448 0.531 5.982
Cu 8.307 0.606 3.652
Cu -1.372 -2.045 7.998
```

Calculated values
- ΔH_f (0 K) (eV per formula unit) = -0.60
- theoretical density (g/cm3) = 8.91
- M_tot (μB per formula unit) = 0.000
- space group = No. 62



Record 6
The following is a DFT calculation (GGA-PBEsol) of CeGa2Cu3 after structural relaxation.

Geometry as extended XYZ:
```
6
Lattice="4.118 0.000 0.000 0.000 5.056 0.024 0.000 -2.386 4.458" Properties=species:S:1:pos:R:3 pbc="T T T"
Ce 0.000 1.335 2.241
Ga 2.059 -1.193 2.229
Ga 2.059 2.528 0.012
Cu 0.000 -1.200 3.752
Cu 0.000 3.871 0.731
Cu 2.059 0.000 0.000
```

Calculated values
- ΔH_f (0 K) (eV per formula unit) = -2.09
- theoretical density (g/cm3) = 8.39
- M_tot (μB per formula unit) = 0.247
- space group = No. 65



Summary of E_tot in eV/cell
-53.379, -34.234, -150.808, -148.210, -132.802, -28.365
(order as listed above)